1.
Tc6B2W | GGA-PBE | optimized geometry

Computed properties:
**SG**: Immm, No. 71
**Energy relative to the elements**: -0.143 eV per atom

Geometry as extended XYZ:
```
18
Lattice="6.336 0.180 -2.243 -3.560 5.481 -1.577 -0.176 -0.180 6.719" Properties=species:S:1:pos:R:3 pbc="T T T"
Tc 2.008 1.679 -0.271
Tc 0.592 3.803 3.170
Tc 3.138 3.983 -1.826
Tc -0.538 1.499 4.725
Tc -1.611 4.013 4.777
Tc 4.211 1.468 -1.878
Tc 2.290 4.193 0.765
Tc 0.309 1.288 2.134
Tc -1.687 5.332 2.321
Tc 4.286 0.150 0.578
Tc 2.950 2.046 2.417
Tc -0.351 3.436 0.482
B 1.635 2.050 4.227
B 0.965 3.431 -1.328
B 2.115 0.000 1.536
B 4.045 0.000 2.939
W -1.868 2.651 2.571
W 0.000 0.000 0.000
```


2.
K2In5Bi3 | GGA-PBE | optimized geometry

Computed properties:
**SG**: Ibam, No. 72
**Energy relative to the elements**: -0.143 eV per atom

Geometry as extended XYZ:
```
20
Lattice="6.624 0.000 2.506 2.862 9.979 2.443 -0.246 -0.283 10.658" Properties=species:S:1:pos:R:3 pbc="T T T"
K 2.606 6.334 3.118
K 4.301 0.994 8.647
K 6.633 3.362 12.488
K 4.939 8.703 6.960
In 3.142 2.575 1.703
In 5.697 0.078 4.955
In 6.098 7.121 13.904
In 3.542 9.618 10.651
In 5.321 7.158 10.954
In 3.919 2.538 4.653
In 6.276 4.848 8.430
In 2.964 4.848 7.177
In 7.231 2.538 5.906
In 2.009 7.158 9.701
Bi 3.683 4.513 10.281
Bi 7.904 7.517 9.129
Bi 5.557 5.183 5.326
Bi 1.335 2.179 6.477
Bi 1.656 0.000 0.627
Bi 4.968 0.000 1.880
```


3.
Ga2PbBr4 | GGA-PBE | optimized geometry

Computed properties:
**SG**: P-1, No. 2
**Formation energy without anion corrections**: -4.8 eV/f.u.
**Relative energy among the computed polymorphs**: 0.00 eV/f.u.

Geometry as extended XYZ:
```
7
Lattice="4.401 0.007 0.005 2.203 7.466 3.816 0.009 0.156 7.924" Properties=species:S:1:pos:R:3 pbc="T T T"
Pb 0.000 0.000 0.000
Br 4.412 2.046 5.512
Br 2.200 5.582 6.234
Br 4.416 5.807 10.608
Br 2.197 1.821 1.138
Ga 4.400 4.230 7.710
Ga 2.213 3.398 4.036
```


4.
Ba6Na2PIr | GGA-PBE | optimized geometry

Computed properties:
**SG**: Fm-3m, No. 225
**Energy relative to the elements**: -0.269 eV per atom

Geometry as extended XYZ:
```
10
Lattice="-8.223 0.731 -3.397 0.658 -8.242 -3.365 1.371 1.388 8.711" Properties=species:S:1:pos:R:3 pbc="T T T"
Ba -4.272 -4.221 3.661
Ba -4.970 -4.926 -0.760
Ba -0.548 -0.521 6.991
Ba -4.597 -0.162 5.317
Ba -1.221 -1.204 2.701
Ba -0.223 -4.580 5.335
Na -5.317 -0.824 0.967
Na -0.878 -5.310 0.983
P -6.851 2.115 5.311
Ir -2.411 -2.371 5.327
```


5.
La2Ta | GGA-PBE | optimized geometry

Computed properties:
**SG**: Fd-3m, No. 227
**Relative energy among the computed polymorphs**: 2.53 eV/f.u.
**Energy relative to the elements**: 1.122 eV per atom

Geometry as extended XYZ:
```
6
Lattice="0.000 4.384 4.384 4.384 0.000 4.384 4.384 4.384 0.000" Properties=species:S:1:pos:R:3 pbc="T T T"
La 1.096 1.096 1.096
La 3.288 1.096 3.288
La 3.288 3.288 1.096
La 1.096 3.288 3.288
Ta 4.384 4.384 4.384
Ta 6.576 6.576 6.576
```


6.
CaSm5Hg3 | GGA-PBE | optimized geometry

Computed properties:
**SG**: P6_3/mcm, No. 193
**Energy relative to the elements**: -0.306 eV per atom

Geometry as extended XYZ:
```
18
Lattice="7.026 0.000 0.000 0.000 9.292 0.000 0.000 -4.646 8.046" Properties=species:S:1:pos:R:3 pbc="T T T"
Ca 0.000 0.000 0.000
Ca 3.513 0.000 0.000
Sm 0.000 4.646 2.681
Sm 3.513 0.000 5.365
Sm 0.000 0.000 5.365
Sm 3.513 4.646 2.681
Sm 5.270 3.103 5.373
Sm 5.270 -1.543 2.673
Sm 5.270 3.086 0.000
Sm 1.757 1.543 2.673
Sm 1.757 6.189 5.373
Sm 1.757 6.206 0.000
Hg 5.270 1.556 2.695
Hg 5.270 6.202 5.351
Hg 5.270 6.180 0.000
Hg 1.757 3.090 5.351
Hg 1.757 -1.556 2.695
Hg 1.757 3.112 0.000
```


Number 1: E -9.98 eV/atom. Number 2: E -2.90 eV/atom. Number 3: E -3.04 eV/atom. Number 4: E -3.11 eV/atom. Number 5: E -6.11 eV/atom. Number 6: E -3.25 eV/atom.